{"formula": "KLiInSn", "functional": "PBE", "state": "relaxed", "m_tot_mub_per_fu": 0.0, "e_form_ev_per_atom": -0.10, "lattice_angstrom": [[-2.065, 0.701, -4.926], [-3.021, -3.863, -2.229], [-5.299, 0.744, -0.618]], "species": ["In", "Sn", "Li", "K"], "frac_coords": [[0.750, 0.750, 0.750], [0.000, 0.000, 0.000], [0.250, 0.250, 0.250], [0.500, 0.500, 0.500]]}


{"formula": "TbNdAlTl", "functional": "PBE", "state": "relaxed", "m_tot_mub_per_fu": 0.0, "relative_energy_mev_per_atom": 0, "e_form_ev_per_atom": -0.37, "lattice_angstrom": [[3.723, 0.000, 0.000], [0.000, 3.723, 0.000], [0.000, 0.000, 7.743]], "species": ["Tl", "Nd", "Tb", "Al"], "frac_coords": [[0.000, 0.000, 0.846], [0.500, 0.500, 0.121], [0.500, 0.500, 0.594], [0.000, 0.000, 0.367]]}


{"formula": "LiLaSn2Pt4", "functional": "PBE", "state": "relaxed", "m_tot_mub_per_fu": 0.0, "e_form_ev_per_atom": -0.79, "lattice_angstrom": [[-0.909, 0.171, -4.390], [-3.526, -2.230, -1.649], [-6.628, 6.461, -0.669]], "species": ["Pt", "Li", "Pt", "Sn", "La", "Pt", "Sn", "Pt"], "frac_coords": [[0.402, 0.402, 0.794], [0.500, 0.500, 0.500], [0.136, 0.136, 0.593], [0.238, 0.238, 0.286], [0.000, 0.000, 0.000], [0.598, 0.598, 0.206], [0.762, 0.762, 0.714], [0.864, 0.864, 0.407]]}